[1]
Computed, not measured: a relaxed DyTaCo10 crystal at the PBE level of DFT.

The structure in POSCAR format:
```
DyTaCo10
1.0
3.975 0.000 0.000
0.000 4.760 0.000
0.000 0.000 8.272
Co Dy Ta
10 1 1
Direct
0.500 0.744 0.260 Co
0.000 0.500 0.817 Co
0.500 0.256 0.740 Co
0.500 0.000 0.500 Co
0.500 0.500 0.000 Co
0.000 0.000 0.346 Co
0.500 0.744 0.740 Co
0.500 0.256 0.260 Co
0.000 0.500 0.183 Co
0.000 0.000 0.654 Co
0.000 0.000 0.000 Dy
0.000 0.500 0.500 Ta
```

Its energy is -7.31 eV per atom. For the calculated formation energy, the calculation gives -0.25 eV per formula unit. The density of states at the Fermi level comes out at 1.433 states/eV per atom.

---

[2]
Computed, not measured: a relaxed RbHoZnBr6 crystal at the PBE level of DFT.

The structure in POSCAR format:
```
RbHoZnBr6
1.0
-0.900 -4.843 -5.106
2.139 -6.686 1.033
-6.943 -1.771 2.903
Br Rb Zn Ho
6 1 1 1
Direct
0.619 0.014 0.296 Br
0.619 0.366 0.704 Br
0.366 0.619 0.296 Br
0.014 0.366 0.296 Br
0.366 0.014 0.704 Br
0.014 0.619 0.704 Br
0.000 0.000 0.000 Rb
0.333 0.333 0.500 Zn
0.667 0.667 0.500 Ho
```

Its energy is -3.37 eV per atom. The density of states at the Fermi level comes out at 0.000 states/eV per atom. The formation energy from raw total energies is -1.4946 eV per atom.

---

- What is the energy in the second record?
  -3.37 eV per atom